Entry 1:
First-principles (SCAN) data for a PBEsol-optimized structure of TcRuPb2, as listed in Alexandria via LeMat-Bulk.

Cell: 2.994 2.994 9.180 Å, 90.00 90.00 90.00°
Space group P4mm (No. 99)
One atom of each set of equivalent atoms:
Tc (0.000, 0.000, 0.000) [1 per cell]
Ru (0.500, 0.500, 0.842) [1 per cell]
Pb (0.000, 0.000, 0.608) [1 per cell]
Pb (0.500, 0.500, 0.241) [1 per cell]

Summary:
Formation energy: 0.311 eV per atom
Energy above the most stable polymorph in this dataset: 0 meV per atom

Entry 2:
First-principles (SCAN) data for a PBEsol-optimized structure of Tc2RuPb, as listed in Alexandria via LeMat-Bulk.

Cell: 9.041 2.961 4.936 Å, 90.00 103.22 90.00°
Space group Cm (No. 8)
One atom of each set of equivalent atoms:
Tc (0.000, 0.000, 0.000) [2 per cell]
Tc (0.233, 0.500, 0.147) [2 per cell]
Ru (0.475, 0.000, 0.419) [2 per cell]
Pb (0.236, 0.000, 0.663) [2 per cell]

Summary:
Formation energy: 0.524 eV per atom

Entry 3:
First-principles (SCAN) data for a PBEsol-optimized structure of Tc2RuPb, as listed in Alexandria via LeMat-Bulk.

Cell: 6.329 6.329 6.329 Å, 90.00 90.00 90.00°
Space group F-43m (No. 216)
One atom of each set of equivalent atoms:
Tc (0.000, 0.000, 0.000) [4 per cell]
Tc (0.250, 0.250, 0.250) [4 per cell]
Ru (0.000, 0.000, 0.500) [4 per cell]
Pb (0.250, 0.250, 0.750) [4 per cell]

Summary:
Formation energy: 0.504 eV per atom

Entry 4:
First-principles (SCAN) data for a PBEsol-optimized structure of Tc2RuPb, as listed in Alexandria via LeMat-Bulk.

Cell: 2.894 2.894 7.580 Å, 90.00 90.00 90.00°
Space group P4/mmm (No. 123)
One atom of each set of equivalent atoms:
Tc (0.000, 0.000, 0.223) [2 per cell]
Ru (0.500, 0.500, 0.000) [1 per cell]
Pb (0.500, 0.500, 0.500) [1 per cell]

Summary:
Formation energy: 0.595 eV per atom

Question: Which of these has the lowest formation energy?
Answer: TcRuPb2

Repeat the second record exactly.
First-principles (SCAN) data for a PBEsol-optimized structure of Tc2RuPb, as listed in Alexandria via LeMat-Bulk.

Cell: 9.041 2.961 4.936 Å, 90.00 103.22 90.00°
Space group Cm (No. 8)
One atom of each set of equivalent atoms:
Tc (0.000, 0.000, 0.000) [2 per cell]
Tc (0.233, 0.500, 0.147) [2 per cell]
Ru (0.475, 0.000, 0.419) [2 per cell]
Pb (0.236, 0.000, 0.663) [2 per cell]

Summary:
Formation energy: 0.524 eV per atom

Question: formation energy of number 1 (TcRuPb2)?
Answer: 0.311 eV per atom

Question: What is the formula in the third record?
Answer: Tc2RuPb